(1)
{"formula": "NaGe2BiBr8", "functional": "PBE", "state": "optimized geometry", "lattice_angstrom": [[6.6949, 0.0000, 0.0000], [0.2761, 7.0749, 0.0000], [0.1488, 0.2170, 8.6010]], "species": ["Na", "Ge", "Ge", "Bi", "Br", "Br", "Br", "Br", "Br", "Br", "Br", "Br"], "frac_coords": [[0.0000, 0.0000, 0.0000], [0.4710, 0.4719, 0.2408], [0.5290, 0.5281, 0.7592], [0.0000, 0.0000, 0.5000], [0.2288, 0.8190, 0.2548], [0.2521, 0.3276, 0.4780], [0.2535, 0.8463, 0.7450], [0.2787, 0.3454, 0.0188], [0.7213, 0.6546, 0.9812], [0.7465, 0.1537, 0.2550], [0.7479, 0.6724, 0.5220], [0.7712, 0.1810, 0.7452]], "sg": "P-1, No. 2", "dft_energy_ev_per_cell": -36.94, "magmom_total_mub_per_fu": 0.0, "dos_ef_per_ev_cell": 0.00, "crystal_system": "triclinic"}


(2)
{"formula": "Nd3GeBiBr", "functional": "PBE", "state": "optimized geometry", "lattice_angstrom": [[7.6238, 0.0000, 0.0000], [0.0000, 4.3553, 0.0000], [-2.3971, 0.0000, 11.3678]], "species": ["Nd", "Nd", "Nd", "Nd", "Nd", "Nd", "Ge", "Ge", "Bi", "Bi", "Br", "Br"], "frac_coords": [[0.0408, 0.2500, 0.1427], [0.2830, 0.2500, 0.4981], [0.4529, 0.7500, 0.8495], [0.5471, 0.2500, 0.1505], [0.7170, 0.7500, 0.5019], [0.9592, 0.7500, 0.8573], [0.2339, 0.2500, 0.9391], [0.7661, 0.7500, 0.0609], [0.3450, 0.7500, 0.3049], [0.6550, 0.2500, 0.6951], [0.1231, 0.7500, 0.6313], [0.8769, 0.2500, 0.3687]], "sg": "P2_1/m, No. 11", "dft_energy_ev_per_cell": -60.79, "magmom_total_mub_per_fu": 0.0, "dos_ef_per_ev_cell": 7.02, "crystal_system": "monoclinic"}


Please write out number 2 again, unchanged.
{"formula": "Nd3GeBiBr", "functional": "PBE", "state": "optimized geometry", "lattice_angstrom": [[7.6238, 0.0000, 0.0000], [0.0000, 4.3553, 0.0000], [-2.3971, 0.0000, 11.3678]], "species": ["Nd", "Nd", "Nd", "Nd", "Nd", "Nd", "Ge", "Ge", "Bi", "Bi", "Br", "Br"], "frac_coords": [[0.0408, 0.2500, 0.1427], [0.2830, 0.2500, 0.4981], [0.4529, 0.7500, 0.8495], [0.5471, 0.2500, 0.1505], [0.7170, 0.7500, 0.5019], [0.9592, 0.7500, 0.8573], [0.2339, 0.2500, 0.9391], [0.7661, 0.7500, 0.0609], [0.3450, 0.7500, 0.3049], [0.6550, 0.2500, 0.6951], [0.1231, 0.7500, 0.6313], [0.8769, 0.2500, 0.3687]], "sg": "P2_1/m, No. 11", "dft_energy_ev_per_cell": -60.79, "magmom_total_mub_per_fu": 0.0, "dos_ef_per_ev_cell": 7.02, "crystal_system": "monoclinic"}